Record 1
Entry from Alexandria: crystalline Cr2FeAs at its relaxed geometry (PBE).

Summary:
- symmetry = Pmmm (47)
- spin magnetization (μB per cell) = 0.4
- ΔH_f (0 K) (eV per atom) = 0.14
- E_tot (eV per cell) = -31.81

Cell: 3.7856 2.6815 5.4415 Å, 60.44 90.00 90.00°
Closest atoms and distances in Å follow each position.
Element x y z (fractional)
1 As 0.5000 0.7500 0.7500  2 Fe 2.37, 8 Cr 2.63
2 Cr 0.0000 0.9900 0.0101  2 Cr 2.27-2.46
3 Cr 0.0000 0.5100 0.4899  2 Cr 2.27-2.46
4 Fe 0.5000 0.2500 0.2500  2 As 2.37, 8 Cr 2.58


Record 2
Entry from Alexandria: crystalline Cr2FeAs at its relaxed geometry (PBE).

Summary:
- symmetry = R3m (160)
- spin magnetization (μB per cell) = 1.2
- ΔH_f (0 K) (eV per atom) = 0.29
- E_tot (eV per cell) = -31.18

Cell: 7.7368 7.7368 7.7368 Å, 20.69 20.69 20.69°
Closest atoms and distances in Å follow each position.
Element x y z (fractional)
1 As 0.7502 0.7502 0.7502  3 Fe 2.52, 3 Cr 2.56, 6 As 2.78
2 Cr 0.9954 0.9954 0.9954  3 Cr 2.37, 3 As 2.56
3 Cr 0.2518 0.2518 0.2518  3 Cr 2.37, 3 Fe 2.47
4 Fe 0.5026 0.5026 0.5026  3 Cr 2.47, 3 As 2.52


Record 3
Entry from Alexandria: crystalline CrGa2FeAs at its relaxed geometry (PBE).

Summary:
- symmetry = P4/mmm (123)
- spin magnetization (μB per cell) = 1.8
- ΔH_f (0 K) (eV per atom) = 1.27
- E_tot (eV per cell) = -22.42

Cell: 4.8521 4.3060 4.8521 Å, 90.00 90.00 90.00°
Closest atoms and distances in Å follow each position.
Element x y z (fractional)
1 Cr 0.5000 0.5000 0.5000  8 Ga 3.24, 4 Fe 3.43
2 As 0.0000 0.0000 0.0000  2 Fe 2.15
3 Fe 0.0000 0.5000 0.0000  2 As 2.15
4 Ga 0.0000 0.0000 0.5000  2 As 2.43
5 Ga 0.5000 0.0000 0.0000  2 As 2.43


Record 4
Entry from Alexandria: crystalline CrGaFe2As at its relaxed geometry (PBE).

Summary:
- symmetry = P4/mmm (123)
- spin magnetization (μB per cell) = 5.1
- ΔH_f (0 K) (eV per atom) = 1.18
- E_tot (eV per cell) = -28.31

Cell: 4.3857 4.5135 4.3857 Å, 90.00 90.00 90.00°
Closest atoms and distances in Å follow each position.
Element x y z (fractional)
1 Cr 0.0000 0.5000 0.0000  2 Ga 2.26
2 As 0.5000 0.5000 0.5000  4 Cr 3.10, 8 Fe 3.15
3 Fe 0.0000 0.0000 0.5000  2 Ga 2.19
4 Fe 0.5000 0.0000 0.0000  2 Ga 2.19
5 Ga 0.0000 0.0000 0.0000  4 Fe 2.19, 2 Cr 2.26